Entry from Alexandria via LeMat-Bulk: a geometry-optimized YTeRu2I structure (GGA-PBE).

Unit cell a=4.8036 b=4.8036 c=6.0319 alpha=90.00 beta=90.00 gamma=90.00
Sites, in units of the cell vectors:
Y1 0.0000 0.0000 0.0000
Te1 0.5000 0.5000 0.5000
Ru1 0.0000 0.5000 0.5000
Ru2 0.5000 0.0000 0.5000
I1 0.5000 0.5000 0.0000

Calculated values
For the theoretical density, the calculation gives 6.5 Mg/m³. The calculation puts the uncorrected formation energy at 0.833 eV per atom. As for the density of states at the Fermi level: 2.47 states/eV/cell. The value obtained for the total energy is -5.109 eV per atom.